# 1
This record from Alexandria describes crystalline YTl2Si at its relaxed geometry. The functional is PBE.

space group = Cmmm
ΔE_f (raw) = 272 meV/atom
ρ = 8.316 g cm⁻³
energy relative to the lowest polymorph listed for this composition = 393.8 meV per atom
D(E_F) = 3.32 states/eV/cell
DFT total energy = -15.5 eV per cell
size of the total moment = 0.00 μB per atom

```
YTl2Si
1.0
1.8674 -2.8816 0.0000
1.8674 2.8816 0.0000
0.0000 0.0000 9.7554
Y Tl Si
1 2 1
Cartesian
0.0000 0.0000 0.0000
1.8674 0.0000 2.6731
1.8674 0.0000 7.0822
0.0000 0.0000 4.8777
```

---

# 2
This record from Alexandria describes crystalline Cs2AgPdF6 at its relaxed geometry. The functional is PBE.

space group = P-3m1
ΔE_f (raw) = -1847 meV/atom
ρ = 4.478 g cm⁻³
energy relative to the lowest polymorph listed for this composition = 70.1 meV per atom
D(E_F) = 6.38 states/eV/cell
DFT total energy = -39.4 eV per cell
size of the total moment = 0.10 μB per atom

```
Cs2AgPdF6
1.0
6.4024 0.0000 0.0000
-3.2012 5.5446 0.0000
0.0000 0.0000 6.2062
Cs Ag Pd F
2 1 1 6
Cartesian
0.0000 3.6964 1.2183
3.2012 1.8482 4.9878
0.0000 0.0000 3.1031
0.0000 0.0000 0.0000
0.0000 1.6599 4.9661
-1.7637 4.7147 4.9661
1.4375 0.8299 1.2400
1.7637 4.7147 4.9661
4.9649 0.8299 1.2400
3.2012 3.8847 1.2400
```

---

# 3
This record from Alexandria describes crystalline Li3H4Br3O2 at its relaxed geometry. The functional is PBE.

space group = Imm2
ρ = 2.486 g cm⁻³
D(E_F) = 0.00 states/eV/cell
DFT total energy = -48.8 eV per cell
size of the total moment = 0.00 μB per atom

```
Li3H4Br3O2
1.0
-2.3126 9.4451 2.2673
2.3126 -9.4451 2.2673
2.3126 9.4451 -2.2673
Li H Br O
3 4 3 2
Cartesian
0.0000 0.0000 0.0000
2.3126 2.3991 0.0262
0.0000 7.0461 2.2935
2.3126 -6.5809 1.6220
2.3126 6.5828 -1.3486
0.0000 2.8624 0.9187
2.3126 6.5809 1.6220
0.0000 5.9262 0.0326
0.0000 12.9640 0.0326
0.0000 9.4451 1.3266
0.0000 2.2608 0.1358
0.0000 16.6295 0.1358
```

---

# 4
This record from Alexandria describes crystalline Hf2AgHg at its relaxed geometry. The functional is PBE.

energy of formation = 0.05 eV/atom
space group = P4/mmm
ρ = 13.471 g cm⁻³
D(E_F) = 5.18 states/eV/cell
DFT total energy = -22.8 eV per cell
size of the total moment = 0.00 μB per atom

```
Hf2AgHg
1.0
3.3482 0.0000 0.0000
0.0000 3.3482 0.0000
0.0000 0.0000 7.3170
Hf Ag Hg
2 1 1
Cartesian
0.0000 0.0000 1.7741
0.0000 0.0000 5.5429
1.6741 1.6741 0.0000
1.6741 1.6741 3.6585
```

---

# 5
This record from Alexandria describes crystalline ScCrPb at its relaxed geometry. The functional is PBE.

energy of formation = 0.17 eV/atom
space group = I4mm
ρ = 8.065 g cm⁻³
energy relative to the lowest polymorph listed for this composition = 27.9 meV per atom
D(E_F) = 2.59 states/eV/cell
DFT total energy = -19.1 eV per cell
size of the total moment = 0.85 μB per atom

```
ScCrPb
1.0
-1.6791 1.6791 5.5531
1.6791 -1.6791 5.5531
1.6791 1.6791 -5.5531
Sc Cr Pb
1 1 1
Cartesian
0.0000 0.0000 0.0000
0.0000 0.0000 3.8977
0.0000 0.0000 7.7229
```

---

# 6
This record from Alexandria describes crystalline Nd5Er6Tm at its relaxed geometry. The functional is PBE.

energy of formation = 0.02 eV/atom
space group = Immm
ρ = 8.099 g cm⁻³
D(E_F) = 16.30 states/eV/cell
DFT total energy = -55.4 eV per cell
size of the total moment = 0.00 μB per atom

```
Nd5Er6Tm
1.0
-2.5388 5.0202 7.6160
2.5388 -5.0202 7.6160
2.5388 5.0202 -7.6160
Nd Er Tm
5 6 1
Cartesian
0.0000 0.0000 0.0000
2.5388 0.0000 2.5390
0.0000 0.0000 5.1053
0.0000 0.0000 10.1268
0.0000 5.0202 5.0770
2.5388 -2.4996 5.0855
2.5388 2.5297 0.0000
0.0000 2.5206 2.5305
2.5388 2.4996 5.0855
0.0000 2.4906 7.6160
0.0000 7.5198 2.5305
0.0000 5.0202 0.0000
```

---

# 7
This record from Alexandria describes crystalline ZnCo2Si at its relaxed geometry. The functional is PBE.

space group = I-4m2
ΔE_f (raw) = -113 meV/atom
ρ = 7.581 g cm⁻³
D(E_F) = 4.91 states/eV/cell
DFT total energy = -21.4 eV per cell
size of the total moment = 0.44 μB per atom

```
ZnCo2Si
1.0
-1.7386 1.7386 3.8291
1.7386 -1.7386 3.8291
1.7386 1.7386 -3.8291
Zn Co Si
1 2 1
Cartesian
0.0000 0.0000 0.0000
1.7386 0.0000 1.9146
0.0000 0.0000 3.8291
0.0000 1.7386 1.9146
```